1.
## ZrMoOs (PBE-GGA)

Data for an optimized crystal structure of ZrMoOs.

Unit cell a=6.2235 b=6.2235 c=6.2235 alpha=90.00 beta=90.00 gamma=90.00
Last column: nearest neighbours and their distance in Å.
Space group F-43m (No. 216)
Symmetry-distinct sites (fractional):
1 Zr 0.0000 0.0000 0.0000 [4 per cell]  4 Os 2.69
2 Mo 0.0000 0.0000 0.5000 [4 per cell]  4 Os 2.69
3 Os 0.2500 0.2500 0.7500 [4 per cell]  4 Zr 2.69, 4 Mo 2.69

Calculated values
- ΔE to the lowest computed polymorph (meV per atom) = 0
- DFT formation energy (eV per atom) = 0.245
- crystal system = cubic


2.
## GdDy2Ga3NiSn2 (PBE-GGA)

Data for an optimized crystal structure of GdDy2Ga3NiSn2.

Unit cell a=4.2768 b=12.6605 c=7.2706 alpha=90.00 beta=90.00 gamma=90.00
Last column: nearest neighbours and their distance in Å.
Space group Amm2 (No. 38)
Symmetry-distinct sites (fractional):
1 Gd 0.0000 0.0000 0.0000 [2 per cell]  1 Ni 2.78
2 Dy 0.0000 0.1889 0.4314 [4 per cell]  1 Ni 2.75
3 Ga 0.5000 0.0000 0.3996 [2 per cell]  2 Ni 2.66, 2 Ga 2.77, 2 Sn 2.94
4 Ga 0.5000 0.1096 0.7294 [4 per cell]  2 Ni 2.68, 2 Ga 2.77-2.78, 2 Sn 2.92-2.94
5 Ni 0.0000 0.0000 0.6174 [2 per cell]  6 Ga 2.66-2.68, 2 Dy 2.75, 1 Gd 2.78
6 Sn 0.5000 0.1680 0.1204 [4 per cell]  3 Ga 2.92-2.94, 4 Dy 3.12, 2 Gd 3.14

Calculated values
- raw total energy (eV/cell) = -84.12
- crystal system = orthorhombic


3.
## ErCdTe (PBE-GGA)

Data for an optimized crystal structure of ErCdTe.

Unit cell a=7.2048 b=7.2048 c=7.2048 alpha=90.00 beta=90.00 gamma=90.00
Last column: nearest neighbours and their distance in Å.
Space group F-43m (No. 216)
Symmetry-distinct sites (fractional):
1 Er 0.0000 0.0000 0.0000 [4 per cell]  4 Te 3.12, 4 Cd 3.12
2 Cd 0.2500 0.2500 0.7500 [4 per cell]  4 Er 3.12
3 Te 0.2500 0.2500 0.2500 [4 per cell]  4 Er 3.12

Calculated values
- ΔE to the lowest computed polymorph (meV per atom) = 0
- crystal system = cubic


4.
## GdDy2Cu4Pb4 (PBE-GGA)

Data for an optimized crystal structure of GdDy2Cu4Pb4.

Unit cell a=4.5613 b=7.0892 c=15.0154 alpha=90.00 beta=90.00 gamma=90.00
Last column: nearest neighbours and their distance in Å.
Space group Immm (No. 71)
Symmetry-distinct sites (fractional):
1 Gd 0.0000 0.0000 0.0000 [2 per cell]  6 Pb 3.08-3.25
2 Dy 0.0000 0.5000 0.1317 [4 per cell]  6 Pb 3.22-3.36, 6 Cu 3.23-3.25
3 Cu 0.0000 0.3126 0.3292 [8 per cell]  1 Cu 2.66, 4 Pb 2.67-2.79
4 Pb 0.0000 0.0000 0.2167 [4 per cell]  6 Cu 2.73-2.79
5 Pb 0.0000 0.2074 0.5000 [4 per cell]  2 Cu 2.67, 1 Pb 2.94

Calculated values
- raw total energy (eV/cell) = -93.01
- crystal system = orthorhombic